# AcSm2Ag2Sn2 | Alexandria via LeMat-Bulk | GGA-PBE | optimized geometry
data_AcSm2Ag2Sn2
_cell_length_a 9.643
_cell_length_b 9.643
_cell_length_c 9.643
_cell_angle_alpha 29.79
_cell_angle_beta 29.79
_cell_angle_gamma 29.79
_symmetry_space_group_name_H-M 'P 1'
_symmetry_Int_Tables_number 1
loop_
_symmetry_equiv_pos_as_xyz
'x,y,z'
loop_
_atom_site_label
_atom_site_fract_x
_atom_site_fract_y
_atom_site_fract_z
Ac1 0.000 0.000 0.000
Sm1 0.136 0.136 0.136
Sm2 0.864 0.864 0.864
Ag1 0.438 0.438 0.438
Ag2 0.562 0.562 0.562
Sn1 0.260 0.260 0.260
Sn2 0.740 0.740 0.740
# Calculated formation energy ... -457.2 meV/atom
# Final energy ... -4.35 eV per atom
# Spin magnetization ... 0.00 μB per atom